DFT (GGA-PBE) results for FeTe after structural relaxation.

```
data_FeTe
_cell_length_a 7.794
_cell_length_b 7.794
_cell_length_c 7.794
_cell_angle_alpha 93.13
_cell_angle_beta 93.13
_cell_angle_gamma 152.96
_symmetry_space_group_name_H-M 'P 1'
_symmetry_Int_Tables_number 1
_symmetry_space_group_name_Hall 'P 1'
loop_
_atom_site_label
_atom_site_type_symbol
_atom_site_fract_x
_atom_site_fract_y
_atom_site_fract_z
Fe1 Fe 0.179 0.282 0.461
Fe2 Fe 0.282 0.821 0.104
Fe3 Fe 0.718 0.179 0.896
Fe4 Fe 0.821 0.718 0.539
Te1 Te 0.062 0.730 0.792
Te2 Te 0.270 0.062 0.332
Te3 Te 0.730 0.938 0.668
Te4 Te 0.938 0.270 0.208
```

Properties
Uncorrected formation energy = 0.40 eV/f.u.

---

DFT (GGA-PBE) results for MgSc4Tc after structural relaxation.

```
data_MgSc4Tc
_cell_length_a 6.171
_cell_length_b 6.171
_cell_length_c 4.730
_cell_angle_alpha 90.00
_cell_angle_beta 90.00
_cell_angle_gamma 134.73
_symmetry_space_group_name_H-M 'P 1'
_symmetry_Int_Tables_number 1
_symmetry_space_group_name_Hall 'P 1'
loop_
_atom_site_label
_atom_site_type_symbol
_atom_site_fract_x
_atom_site_fract_y
_atom_site_fract_z
Mg1 Mg 0.000 0.000 0.000
Sc1 Sc 0.144 0.856 0.500
Sc2 Sc 0.357 0.643 0.000
Sc3 Sc 0.643 0.357 0.000
Sc4 Sc 0.856 0.144 0.500
Tc1 Tc 0.500 0.500 0.500
```

Properties
ΔE_f = -0.49 eV per formula unit
ΔE to the lowest computed polymorph = 0.0014 eV per atom

---

DFT (GGA-PBE) results for AlNiHg2 after structural relaxation.

```
data_AlNiHg2
_cell_length_a 3.172
_cell_length_b 4.733
_cell_length_c 4.979
_cell_angle_alpha 90.00
_cell_angle_beta 94.20
_cell_angle_gamma 90.00
_symmetry_space_group_name_H-M 'P 1'
_symmetry_Int_Tables_number 1
_symmetry_space_group_name_Hall 'P 1'
loop_
_atom_site_label
_atom_site_type_symbol
_atom_site_fract_x
_atom_site_fract_y
_atom_site_fract_z
Al1 Al 0.000 0.000 0.000
Ni1 Ni 0.500 0.000 0.500
Hg1 Hg 0.244 0.500 0.257
Hg2 Hg 0.756 0.500 0.743
```

Properties
ΔE_f = 0.98 eV per formula unit

---

DFT (GGA-PBE) results for Zn2CuTe after structural relaxation.

```
data_Zn2CuTe
_cell_length_a 4.310
_cell_length_b 4.310
_cell_length_c 5.698
_cell_angle_alpha 102.48
_cell_angle_beta 102.48
_cell_angle_gamma 47.68
_symmetry_space_group_name_H-M 'P 1'
_symmetry_Int_Tables_number 1
_symmetry_space_group_name_Hall 'P 1'
loop_
_atom_site_label
_atom_site_type_symbol
_atom_site_fract_x
_atom_site_fract_y
_atom_site_fract_z
Zn1 Zn 0.000 0.000 0.000
Zn2 Zn 0.747 0.747 0.203
Cu1 Cu 0.486 0.486 0.372
Te1 Te 0.240 0.240 0.651
```

Properties
Uncorrected formation energy = 0.33 eV/f.u.
ΔE to the lowest computed polymorph = 0.0640 eV per atom

---

DFT (GGA-PBE) results for KCaY2 after structural relaxation.

```
data_KCaY2
_cell_length_a 3.571
_cell_length_b 3.571
_cell_length_c 13.296
_cell_angle_alpha 90.00
_cell_angle_beta 90.00
_cell_angle_gamma 113.67
_symmetry_space_group_name_H-M 'P 1'
_symmetry_Int_Tables_number 1
_symmetry_space_group_name_Hall 'P 1'
loop_
_atom_site_label
_atom_site_type_symbol
_atom_site_fract_x
_atom_site_fract_y
_atom_site_fract_z
K1 K 0.000 0.000 0.000
Ca1 Ca 0.000 0.000 0.500
Y1 Y 0.500 0.500 0.271
Y2 Y 0.500 0.500 0.729
```

Properties
ΔE_f = 1.23 eV per formula unit
ΔE to the lowest computed polymorph = 0.1257 eV per atom

---

DFT (GGA-PBE) results for PrBPtO4 after structural relaxation.

```
data_PrBPtO4
_cell_length_a 5.263
_cell_length_b 5.263
_cell_length_c 6.634
_cell_angle_alpha 90.00
_cell_angle_beta 90.00
_cell_angle_gamma 111.72
_symmetry_space_group_name_H-M 'P 1'
_symmetry_Int_Tables_number 1
_symmetry_space_group_name_Hall 'P 1'
loop_
_atom_site_label
_atom_site_type_symbol
_atom_site_fract_x
_atom_site_fract_y
_atom_site_fract_z
Pr1 Pr 0.000 0.000 0.000
Pr2 Pr 0.000 0.000 0.500
B1 B 0.369 0.631 0.750
B2 B 0.631 0.369 0.250
Pt1 Pt 0.303 0.697 0.250
Pt2 Pt 0.697 0.303 0.750
O1 O 0.268 0.322 0.750
O2 O 0.270 0.730 0.567
O3 O 0.270 0.730 0.933
O4 O 0.322 0.268 0.250
O5 O 0.678 0.732 0.750
O6 O 0.730 0.270 0.067
O7 O 0.730 0.270 0.433
O8 O 0.732 0.678 0.250
```

Properties
Uncorrected formation energy = -12.52 eV/f.u.

---

DFT (GGA-PBE) results for La5Pr2Sm2 after structural relaxation.

```
data_La5Pr2Sm2
_cell_length_a 10.302
_cell_length_b 10.302
_cell_length_c 10.302
_cell_angle_alpha 84.94
_cell_angle_beta 108.76
_cell_angle_gamma 140.04
_symmetry_space_group_name_H-M 'P 1'
_symmetry_Int_Tables_number 1
_symmetry_space_group_name_Hall 'P 1'
loop_
_atom_site_label
_atom_site_type_symbol
_atom_site_fract_x
_atom_site_fract_y
_atom_site_fract_z
La1 La 0.065 0.069 0.496
La2 La 0.069 0.484 0.872
La3 La 0.069 0.697 0.085
La4 La 0.233 0.052 0.285
La5 La 0.233 0.448 0.680
La6 La 0.573 0.569 0.504
La7 La 0.612 0.197 0.128
La8 La 0.612 0.984 0.915
La9 La 0.767 0.552 0.320
La10 La 0.767 0.948 0.715
Pr1 Pr 0.165 0.300 0.124
Pr2 Pr 0.165 0.542 0.365
Pr3 Pr 0.176 0.042 0.876
Pr4 Pr 0.176 0.800 0.635
Sm1 Sm 0.614 0.870 0.244
Sm2 Sm 0.626 0.370 0.756
Sm3 Sm 0.651 0.151 0.500
Sm4 Sm 0.651 0.651 0.000
```

Properties
ΔE_f = 1.50 eV per formula unit
ΔE to the lowest computed polymorph = 0.1508 eV per atom

---

DFT (GGA-PBE) results for Sm3B9Os2 after structural relaxation.

```
data_Sm3B9Os2
_cell_length_a 8.170
_cell_length_b 8.170
_cell_length_c 8.170
_cell_angle_alpha 157.71
_cell_angle_beta 119.54
_cell_angle_gamma 65.27
_symmetry_space_group_name_H-M 'P 1'
_symmetry_Int_Tables_number 1
_symmetry_space_group_name_Hall 'P 1'
loop_
_atom_site_label
_atom_site_type_symbol
_atom_site_fract_x
_atom_site_fract_y
_atom_site_fract_z
Sm1 Sm 0.000 0.000 0.000
Sm2 Sm 0.266 0.266 0.000
Sm3 Sm 0.734 0.734 0.000
B1 B 0.059 0.366 0.693
B2 B 0.124 0.872 0.252
B3 B 0.327 0.634 0.693
B4 B 0.381 0.128 0.252
B5 B 0.500 0.000 0.500
B6 B 0.619 0.872 0.748
B7 B 0.673 0.366 0.307
B8 B 0.876 0.128 0.748
B9 B 0.941 0.634 0.307
Os1 Os 0.332 0.500 0.832
Os2 Os 0.668 0.500 0.168
```

Properties
ΔE_f = -2.23 eV per formula unit

---

DFT (GGA-PBE) results for LuPuGaHg after structural relaxation.

```
data_LuPuGaHg
_cell_length_a 5.156
_cell_length_b 5.156
_cell_length_c 5.156
_cell_angle_alpha 60.00
_cell_angle_beta 60.00
_cell_angle_gamma 60.00
_symmetry_space_group_name_H-M 'P 1'
_symmetry_Int_Tables_number 1
_symmetry_space_group_name_Hall 'P 1'
loop_
_atom_site_label
_atom_site_type_symbol
_atom_site_fract_x
_atom_site_fract_y
_atom_site_fract_z
Lu1 Lu 0.000 0.000 0.000
Pu1 Pu 0.500 0.500 0.500
Ga1 Ga 0.750 0.750 0.750
Hg1 Hg 0.250 0.250 0.250
```

Properties
ΔE_f = -1.24 eV per formula unit

---

DFT (GGA-PBE) results for Ce8Rh2C after structural relaxation.

```
data_Ce8Rh2C
_cell_length_a 9.100
_cell_length_b 9.100
_cell_length_c 6.693
_cell_angle_alpha 101.54
_cell_angle_beta 101.54
_cell_angle_gamma 27.02
_symmetry_space_group_name_H-M 'P 1'
_symmetry_Int_Tables_number 1
_symmetry_space_group_name_Hall 'P 1'
loop_
_atom_site_label
_atom_site_type_symbol
_atom_site_fract_x
_atom_site_fract_y
_atom_site_fract_z
Ce1 Ce 0.010 0.010 0.230
Ce2 Ce 0.213 0.213 0.264
Ce3 Ce 0.358 0.358 0.982
Ce4 Ce 0.410 0.410 0.530
Ce5 Ce 0.590 0.590 0.470
Ce6 Ce 0.642 0.642 0.018
Ce7 Ce 0.787 0.787 0.736
Ce8 Ce 0.990 0.990 0.770
Rh1 Rh 0.169 0.169 0.705
Rh2 Rh 0.831 0.831 0.295
C1 C 0.500 0.500 0.000
```

Properties
ΔE_f = -2.76 eV per formula unit

---

DFT (GGA-PBE) results for RbSmAgTe3 after structural relaxation.

```
data_RbSmAgTe3
_cell_length_a 8.911
_cell_length_b 8.911
_cell_length_c 11.470
_cell_angle_alpha 90.00
_cell_angle_beta 90.00
_cell_angle_gamma 151.40
_symmetry_space_group_name_H-M 'P 1'
_symmetry_Int_Tables_number 1
_symmetry_space_group_name_Hall 'P 1'
loop_
_atom_site_label
_atom_site_type_symbol
_atom_site_fract_x
_atom_site_fract_y
_atom_site_fract_z
Rb1 Rb 0.247 0.753 0.750
Rb2 Rb 0.753 0.247 0.250
Sm1 Sm 0.000 0.000 0.000
Sm2 Sm 0.000 0.000 0.500
Ag1 Ag 0.473 0.527 0.250
Ag2 Ag 0.527 0.473 0.750
Te1 Te 0.077 0.923 0.250
Te2 Te 0.375 0.625 0.056
Te3 Te 0.375 0.625 0.444
Te4 Te 0.625 0.375 0.556
Te5 Te 0.625 0.375 0.944
Te6 Te 0.923 0.077 0.750
```

Properties
Uncorrected formation energy = -5.50 eV/f.u.

---

DFT (GGA-PBE) results for Pm2ScPbC after structural relaxation.

```
data_Pm2ScPbC
_cell_length_a 5.102
_cell_length_b 5.102
_cell_length_c 4.611
_cell_angle_alpha 90.00
_cell_angle_beta 90.00
_cell_angle_gamma 90.00
_symmetry_space_group_name_H-M 'P 1'
_symmetry_Int_Tables_number 1
_symmetry_space_group_name_Hall 'P 1'
loop_
_atom_site_label
_atom_site_type_symbol
_atom_site_fract_x
_atom_site_fract_y
_atom_site_fract_z
Pm1 Pm 0.000 0.500 0.000
Pm2 Pm 0.500 0.000 0.000
Sc1 Sc 0.000 0.000 0.500
Pb1 Pb 0.500 0.500 0.500
C1 C 0.000 0.000 0.000
```

Properties
ΔE_f = -2.44 eV per formula unit

---

Number 1: DOS at the Fermi energy 8.7 states/eV per cell, total magnetic moment 2.1 μB per formula unit. Number 2: DOS at the Fermi energy 4.8 states/eV per cell, total magnetic moment 0.0 μB per formula unit. Number 3: DOS at the Fermi energy 1.7 states/eV per cell, total magnetic moment 0.0 μB per formula unit. Number 4: DOS at the Fermi energy 1.3 states/eV per cell, total magnetic moment 0.0 μB per formula unit. Number 5: DOS at the Fermi energy 6.2 states/eV per cell, total magnetic moment 0.0 μB per formula unit. Number 6: DOS at the Fermi energy 10.4 states/eV per cell, total magnetic moment 0.3 μB per formula unit. Number 7: DOS at the Fermi energy 25.8 states/eV per cell, total magnetic moment 0.0 μB per formula unit. Number 8: DOS at the Fermi energy 8.0 states/eV per cell, total magnetic moment 0.0 μB per formula unit. Number 9: DOS at the Fermi energy 9.2 states/eV per cell, total magnetic moment 6.0 μB per formula unit. Number 10: DOS at the Fermi energy 23.0 states/eV per cell, total magnetic moment 0.0 μB per formula unit. Number 11: DOS at the Fermi energy 9.0 states/eV per cell, total magnetic moment 0.0 μB per formula unit. Number 12: DOS at the Fermi energy 2.4 states/eV per cell, total magnetic moment 0.0 μB per formula unit.